A:
VASP calculation (PBE-GGA) on a geometry-optimized SmEuDy2 structure.

a = 3.8315 Å, b = 5.9530 Å, c = 5.9530 Å
α = 90.00°, β = 90.00°, γ = 90.00°
Last column: nearest neighbours and their distance in Å.
Fractional coordinates of all 4 atoms:
Sm 0.5000 0.5000 0.5000  8 Dy 3.54, 2 Sm 3.83
Dy 0.0000 0.0000 0.5000  4 Sm 3.54, 4 Eu 3.54, 2 Dy 3.83
Dy 0.0000 0.5000 0.0000  4 Eu 3.54, 4 Sm 3.54, 2 Dy 3.83
Eu 0.5000 0.0000 0.0000  8 Dy 3.54, 2 Eu 3.83

B:
VASP calculation (PBE-GGA) on a geometry-optimized SmEuDy2 structure.

a = 3.5556 Å, b = 3.5556 Å, c = 12.7547 Å
α = 81.99°, β = 81.99°, γ = 60.00°
Last column: nearest neighbours and their distance in Å.
Fractional coordinates of all 4 atoms:
Sm 0.5000 0.5000 0.5000  6 Dy 3.53, 6 Sm 3.56
Eu 0.0000 0.0000 0.0000  2 Dy 3.42, 6 Eu 3.56
Dy 0.0906 0.0906 0.7283  1 Eu 3.42, 3 Sm 3.53, 6 Dy 3.56
Dy 0.9094 0.9094 0.2717  1 Eu 3.42, 3 Sm 3.53, 6 Dy 3.56

C:
VASP calculation (PBE-GGA) on a geometry-optimized SmEuDy2 structure.

a = 3.6401 Å, b = 3.6401 Å, c = 10.2883 Å
α = 90.00°, β = 90.00°, γ = 90.00°
Last column: nearest neighbours and their distance in Å.
Fractional coordinates of all 4 atoms:
Dy 0.0000 0.0000 0.7634  4 Sm 3.54, 4 Dy 3.64, 4 Eu 3.74
Dy 0.0000 0.0000 0.2366  4 Sm 3.54, 4 Dy 3.64, 4 Eu 3.74
Eu 0.5000 0.5000 0.5000  4 Eu 3.64, 8 Dy 3.74
Sm 0.5000 0.5000 0.0000  8 Dy 3.54, 4 Sm 3.64

Result of the stability comparison: B is the least stable of them.